This record from Alexandria via LeMat-Bulk describes crystalline Tb2Pm5Dy3 at its relaxed geometry. The functional is GGA-PBE.

The mass density comes out at 7.53 g cm⁻³. The formation energy is 0.188 eV/atom. For the volume, the calculation gives 1349.1 Å³ per cell. For the magnetic moment, the calculation gives 0.0 μB per formula unit.

The space group is C2/c (No. 15) and the conventional cell measures 10.739, 14.985 and 9.953 Å, with angles of 90.00, 122.61 and 90.00 degrees. The distinct sites, in fractional coordinates, are Tb at (0.150, 0.128, 0.055), Pm at (0.000, 0.019, 0.250), Pm at (0.000, 0.228, 0.250), Pm at (0.000, 0.479, 0.750), Pm at (0.244, 0.370, 0.236), Dy at (0.000, 0.274, 0.750) and Dy at (0.155, 0.375, 0.555).